[1]
Entry from the Alexandria database: a geometry-optimized PmMg4Au2 structure (GGA-PBE).

Cell: 4.4119 8.3678 8.3678 Å, 90.00 90.00 90.00°
Atoms (fractional coordinates):
Au1 0.0000 0.7838 0.2162
Au2 0.5000 0.7162 0.7162
Au3 0.0000 0.2162 0.7838
Au4 0.5000 0.2838 0.2838
Mg1 0.5000 0.5877 0.1638
Mg2 0.5000 0.8362 0.4123
Mg3 0.0000 0.3362 0.0877
Mg4 0.5000 0.1638 0.5877
Mg5 0.0000 0.0877 0.3362
Mg6 0.0000 0.6638 0.9123
Mg7 0.5000 0.4123 0.8362
Mg8 0.0000 0.9123 0.6638
Pm1 0.5000 0.0000 0.0000
Pm2 0.0000 0.5000 0.5000

* Fermi-level density of states: 7.35 states/eV per cell
* ΔE_f: -507 meV per atom
* crystal system: tetragonal

[2]
Entry from the Alexandria database: a geometry-optimized Pm2HoHg5 structure (GGA-PBE).

Cell: 5.2185 5.2185 8.3693 Å, 108.17 108.17 90.00°
Atoms (fractional coordinates):
Hg1 0.8814 0.3814 0.7627
Hg2 0.1186 0.6186 0.2373
Hg3 0.3814 0.8814 0.7627
Hg4 0.6186 0.1186 0.2373
Hg5 0.5000 0.5000 0.0000
Pm1 0.7358 0.7358 0.4717
Pm2 0.2642 0.2642 0.5283
Ho1 0.0000 0.0000 0.0000

* Fermi-level density of states: 6.18 states/eV per cell
* ΔE_f: -413 meV per atom
* crystal system: tetragonal

[3]
Entry from the Alexandria database: a geometry-optimized CsMnIn2I8 structure (GGA-PBE).

Cell: 8.6660 8.6660 10.2822 Å, 90.00 90.00 120.00°
Atoms (fractional coordinates):
Cs1 0.0000 0.0000 0.5000
I1 0.7009 0.8504 0.8227
I2 0.8504 0.1496 0.1773
I3 0.1496 0.8504 0.8227
I4 0.6667 0.3333 0.5274
I5 0.2991 0.1496 0.1773
I6 0.8504 0.7009 0.1773
I7 0.3333 0.6667 0.4726
I8 0.1496 0.2991 0.8227
In1 0.6667 0.3333 0.2572
In2 0.3333 0.6667 0.7428
Mn1 0.0000 0.0000 0.0000

* Fermi-level density of states: 2.77 states/eV per cell
* raw formation energy: -0.57 eV per atom
* crystal system: trigonal

no.,spin magnetization (μB/cell),calculated total energy (Ha/atom)
1,0.0,-0.111
2,0.2,-0.087
3,4.6,-0.106